Run a
# SiHgTeI2 GGA-PBE relaxed
# DOS at the Fermi energy ... 4.42 states/eV per cell
# Total magnetic moment ... 0.29 μB per cell
data_SiHgTeI2
_chemical_formula_sum 'Si1 Hg1 Te1 I2'
_symmetry_space_group_name_H-M 'P 1'
_symmetry_Int_Tables_number 1
_symmetry_space_group_name_Hall 'P 1'
_cell_length_a 5.773
_cell_length_b 5.773
_cell_length_c 5.768
_cell_angle_alpha 90.00
_cell_angle_beta 90.00
_cell_angle_gamma 90.00
loop_
_atom_site_label
_atom_site_type_symbol
_atom_site_fract_x
_atom_site_fract_y
_atom_site_fract_z
I1 I 0.000 0.500 0.000
I2 I 0.500 0.000 0.000
Si1 Si 0.500 0.500 0.500
Te1 Te 0.000 0.000 0.500
Hg1 Hg 0.000 0.000 0.000

Run b
# SiHgTeI2 GGA-PBE relaxed
# DOS at the Fermi energy ... 4.02 states/eV per cell
# Total magnetic moment ... 0.00 μB per cell
data_SiHgTeI2
_chemical_formula_sum 'Si1 Hg1 Te1 I2'
_symmetry_space_group_name_H-M 'P 1'
_symmetry_Int_Tables_number 1
_symmetry_space_group_name_Hall 'P 1'
_cell_length_a 5.585
_cell_length_b 5.585
_cell_length_c 5.419
_cell_angle_alpha 90.00
_cell_angle_beta 90.00
_cell_angle_gamma 90.00
loop_
_atom_site_label
_atom_site_type_symbol
_atom_site_fract_x
_atom_site_fract_y
_atom_site_fract_z
I1 I 0.000 0.500 0.000
I2 I 0.500 0.000 0.000
Si1 Si 0.000 0.000 0.000
Te1 Te 0.000 0.000 0.500
Hg1 Hg 0.500 0.500 0.500

Of all the structures shown, which is most stable? run b, and run a is the least stable.